Record 1
Ca2SiOs | GGA-PBE | relaxed

## Properties
**Formation energy without anion corrections**: 26 kJ per mole of atoms
**Theoretical density**: 6170 kg/m³

Unit cell a=5.4183 b=5.4183 c=2.8849 alpha=90.01 beta=90.01 gamma=108.49
With the nearest neighbours (Å) after each atom.
Element x y z (fractional)
Os (0.5000, 0.0000, 0.5000)  2 Os 2.88, 8 Ca 3.07, 2 Si 3.17
Si (0.0000, 0.5000, 0.5000)  2 Si 2.88, 8 Ca 3.07, 2 Os 3.17
Ca (0.5000, 0.5000, 0.0000)  4 Ca 2.88-3.17, 4 Si 3.07, 4 Os 3.07
Ca (0.0000, 0.0000, 0.0000)  4 Ca 2.88-3.17, 4 Os 3.07, 4 Si 3.07

---

Record 2
CaSiOs | GGA-PBE | relaxed

## Properties
**Formation energy without anion corrections**: 24 kJ per mole of atoms
**Theoretical density**: 7393 kg/m³

Unit cell a=4.3458 b=4.3458 c=4.3458 alpha=60.00 beta=60.00 gamma=60.00
With the nearest neighbours (Å) after each atom.
Element x y z (fractional)
Si (0.7500, 0.7500, 0.7500)  4 Ca 2.66, 4 Os 2.66
Ca (0.0000, 0.0000, 0.0000)  4 Si 2.66
Os (0.5000, 0.5000, 0.5000)  4 Si 2.66

---

Record 3
CaSi7Os3 | GGA-PBE | relaxed

## Properties
**Formation energy without anion corrections**: -31 kJ per mole of atoms
**Theoretical density**: 7877 kg/m³

Unit cell a=7.7101 b=7.7101 c=7.9710 alpha=61.08 beta=61.08 gamma=60.00
With the nearest neighbours (Å) after each atom.
Element x y z (fractional)
Si (0.3293, 0.9384, 0.5875)  3 Os 2.46-2.52, 4 Si 2.61-2.73
Os (0.4216, 0.0784, 0.7500)  7 Si 2.46-2.53
Si (0.1448, 0.3293, 0.5875)  3 Os 2.46-2.52, 4 Si 2.61-2.73
Os (0.9216, 0.2500, 0.2500)  7 Si 2.46-2.53
Ca (0.0000, 0.0000, 0.0000)  6 Os 3.07, 12 Si 3.12-3.25
Ca (0.5000, 0.5000, 0.5000)  6 Os 3.07, 12 Si 3.12-3.25
Si (0.2500, 0.2500, 0.2500)  3 Os 2.53, 6 Si 2.69
Si (0.8293, 0.6448, 0.0875)  3 Os 2.46-2.52, 4 Si 2.61-2.73
Si (0.1707, 0.3552, 0.9125)  3 Os 2.46-2.52, 4 Si 2.61-2.73
Si (0.7500, 0.7500, 0.7500)  3 Os 2.53, 6 Si 2.69
Si (0.6707, 0.0616, 0.4125)  3 Os 2.46-2.52, 4 Si 2.61-2.73
Si (0.6448, 0.4384, 0.0875)  3 Os 2.46-2.52, 4 Si 2.61-2.73
Si (0.0616, 0.8552, 0.4125)  3 Os 2.46-2.52, 4 Si 2.61-2.73
Si (0.3552, 0.5616, 0.9125)  3 Os 2.46-2.52, 4 Si 2.61-2.73
Si (0.5616, 0.1707, 0.9125)  3 Os 2.46-2.52, 4 Si 2.61-2.73
Si (0.9384, 0.1448, 0.5875)  3 Os 2.46-2.52, 4 Si 2.61-2.73
Os (0.2500, 0.5784, 0.2500)  7 Si 2.46-2.53
Si (0.8552, 0.6707, 0.4125)  3 Os 2.46-2.52, 4 Si 2.61-2.73
Os (0.7500, 0.4216, 0.7500)  7 Si 2.46-2.53
Os (0.0784, 0.7500, 0.7500)  7 Si 2.46-2.53
Si (0.4384, 0.8293, 0.0875)  3 Os 2.46-2.52, 4 Si 2.61-2.73
Os (0.5784, 0.9216, 0.2500)  7 Si 2.46-2.53

---

Record 4
CaSiOs4 | GGA-PBE | relaxed

## Properties
**Formation energy without anion corrections**: 54 kJ per mole of atoms
**Theoretical density**: 13517 kg/m³

Unit cell a=5.2419 b=5.2419 c=5.2419 alpha=60.00 beta=60.00 gamma=60.00
With the nearest neighbours (Å) after each atom.
Element x y z (fractional)
Os (0.3755, 0.8735, 0.3755)  6 Os 2.61-2.63
Os (0.3755, 0.3755, 0.8735)  6 Os 2.61-2.63
Os (0.3755, 0.3755, 0.3755)  6 Os 2.61-2.63
Si (0.7500, 0.7500, 0.7500)  12 Os 3.07, 4 Ca 3.21
Os (0.8735, 0.3755, 0.3755)  6 Os 2.61-2.63
Ca (0.0000, 0.0000, 0.0000)  12 Os 3.07, 4 Si 3.21